Compound: BaAg3
Source: the Alexandria database
Functional: PBE-GGA
Structure: relaxed

Computed properties:
Calculated total energy (eV for the cell shown): -21.96
Formation enthalpy at 0 K (eV per atom): -0.13
M_tot (μB per formula unit): 0.00

Cell: 7.230 7.230 4.933 Å, 90.00 90.00 120.13°
Sites, in units of the cell vectors:
Ba1 0.167 0.833 0.750
Ba2 0.833 0.167 0.250
Ag1 0.235 0.367 0.750
Ag2 0.367 0.235 0.250
Ag3 0.368 0.632 0.250
Ag4 0.632 0.368 0.750
Ag5 0.633 0.765 0.750
Ag6 0.765 0.633 0.250